The following is a DFT calculation (PBE) of YHgCl after structural relaxation.

Output
E_form (uncorrected) in eV per atom: -0.846
Symmetry: Fmm2
Polymorph energy (0 for the lowest one) in eV per formula unit: 0.392
Fermi-level density of states in states/eV/f.u.: 1.8

a b c (Å): 8.295 7.964 3.568
angles (deg): 82.56 72.19 25.25
Element x y z (fractional)
Hg 0.310 0.310 0.690
Y 0.657 0.657 0.343
Cl 0.033 0.033 0.967

***

The following is a DFT calculation (PBE) of KTlP2 after structural relaxation.

Output
Formation energy in meV per atom: -18
Symmetry: P2/m
Polymorph energy (0 for the lowest one) in eV per formula unit: 0.641
Fermi-level density of states in states/eV/f.u.: 1.6

a b c (Å): 4.515 4.424 9.999
angles (deg): 42.39 90.00 90.00
Element x y z (fractional)
K 0.500 0.750 0.750
P 0.000 0.995 0.100
P 0.000 0.505 0.400
Tl 0.500 0.250 0.250

***

The following is a DFT calculation (PBE) of Cs2Sn2HgAs2 after structural relaxation.

Output
Formation energy in meV per atom: -289
Symmetry: P-1
Fermi-level density of states in states/eV/f.u.: 1.2

a b c (Å): 4.256 8.939 8.871
angles (deg): 55.19 89.79 76.18
Element x y z (fractional)
As 0.143 0.712 0.492
As 0.857 0.288 0.508
Cs 0.411 0.173 0.216
Cs 0.589 0.827 0.784
Sn 0.231 0.542 0.309
Sn 0.769 0.458 0.691
Hg 0.000 0.000 0.000

***

The following is a DFT calculation (PBE) of Dy6SbAs2S3 after structural relaxation.

Output
E_form (uncorrected) in eV per atom: -1.689
Symmetry: C2/m
Fermi-level density of states in states/eV/f.u.: 4.2

a b c (Å): 4.068 8.122 9.080
angles (deg): 102.55 102.95 90.00
Element x y z (fractional)
Dy 0.000 0.269 0.000
Dy 0.327 0.912 0.653
Dy 0.000 0.731 0.000
Dy 0.673 0.088 0.347
Dy 0.333 0.417 0.666
Dy 0.667 0.583 0.334
Sb 0.500 0.000 0.000
As 0.167 0.334 0.334
As 0.833 0.666 0.666
S 0.835 0.168 0.669
S 0.165 0.832 0.331
S 0.500 0.500 0.000

***

The following is a DFT calculation (PBE) of LiV2CdN after structural relaxation.

Output
E_form (uncorrected) in eV per atom: 1.918
Symmetry: P4/mmm
Fermi-level density of states in states/eV/f.u.: 7.1

a b c (Å): 4.294 4.352 4.294
angles (deg): 90.00 90.00 90.00
Last column: magnetic moment on the atom in μB.
Element x y z (fractional)
Cd 0.000 0.500 0.000  -0.02
Li 0.000 0.000 0.000  0.04
V 0.000 0.000 0.500  1.77
V 0.500 0.000 0.000  1.72
N 0.500 0.500 0.500  -0.45

***

The following is a DFT calculation (PBE) of Ba2SnAsP after structural relaxation.

Output
Formation energy in meV per atom: -308
Symmetry: P4/mmm
Polymorph energy (0 for the lowest one) in eV per formula unit: 2.379
Fermi-level density of states in states/eV/f.u.: 4.6

a b c (Å): 6.366 4.665 6.366
angles (deg): 90.00 90.00 90.00
Element x y z (fractional)
Sn 0.500 0.500 0.500
Ba 0.500 0.000 0.000
Ba 0.000 0.000 0.500
As 0.000 0.000 0.000
P 0.000 0.500 0.000

***

The following is a DFT calculation (PBE) of K2PSe3 after structural relaxation.

Output
E_form (uncorrected) in eV per atom: -0.829
Symmetry: P2_1/c
Polymorph energy (0 for the lowest one) in eV per formula unit: 0.000
Fermi-level density of states in states/eV/f.u.: 0.0

a b c (Å): 8.926 12.683 14.112
angles (deg): 90.00 91.25 90.00
Element x y z (fractional)
Se 0.538 0.826 0.386
Se 0.970 0.398 0.327
Se 0.470 0.102 0.327
Se 0.038 0.674 0.386
Se 0.986 0.817 0.107
Se 0.693 0.025 0.962
Se 0.507 0.406 0.178
Se 0.307 0.975 0.038
Se 0.007 0.094 0.178
Se 0.694 0.528 0.534
Se 0.194 0.972 0.534
Se 0.493 0.594 0.822
Se 0.806 0.028 0.466
Se 0.486 0.683 0.107
Se 0.514 0.317 0.893
Se 0.193 0.475 0.962
Se 0.530 0.898 0.673
Se 0.306 0.472 0.466
Se 0.030 0.602 0.673
Se 0.014 0.183 0.893
Se 0.462 0.174 0.614
Se 0.993 0.906 0.822
Se 0.962 0.326 0.614
Se 0.807 0.525 0.038
K 0.819 0.783 0.557
K 0.815 0.443 0.808
K 0.793 0.094 0.702
K 0.273 0.238 0.065
K 0.685 0.943 0.192
K 0.707 0.594 0.298
K 0.185 0.557 0.192
K 0.681 0.283 0.443
K 0.207 0.906 0.298
K 0.319 0.717 0.557
K 0.181 0.217 0.443
K 0.293 0.406 0.702
K 0.773 0.262 0.065
K 0.227 0.738 0.935
K 0.727 0.762 0.935
K 0.315 0.057 0.808
P 0.565 0.524 0.069
P 0.935 0.024 0.931
P 0.431 0.008 0.568
P 0.435 0.476 0.931
P 0.065 0.976 0.069
P 0.931 0.492 0.568
P 0.069 0.508 0.432
P 0.569 0.992 0.432

***

The following is a DFT calculation (PBE) of Mo5W after structural relaxation.

Output
Formation energy in meV per atom: 363
Symmetry: F-43m
Polymorph energy (0 for the lowest one) in eV per formula unit: 2.291
Fermi-level density of states in states/eV/f.u.: 10.3

a b c (Å): 5.188 5.188 5.188
angles (deg): 60.00 60.00 60.00
Element x y z (fractional)
Mo 0.250 0.250 0.250
Mo 0.625 0.625 0.625
Mo 0.625 0.625 0.125
Mo 0.125 0.625 0.625
Mo 0.625 0.125 0.625
W 0.000 0.000 0.000

***

Number 1: total energy -11.150 eV for the cell shown. Number 2: total energy -14.357 eV for the cell shown. Number 3: total energy -21.338 eV for the cell shown. Number 4: total energy -73.680 eV for the cell shown. Number 5: total energy -19.803 eV for the cell shown. Number 6: total energy -19.447 eV for the cell shown. Number 7: total energy -184.279 eV for the cell shown. Number 8: total energy -64.930 eV for the cell shown.